Record 1
The following is a DFT calculation (PBE) of a relaxed InFe2CoC crystal.

Calculated values
volume: 11.5 A^3/atom
uncorrected energy: -7.137 eV per atom
symmetry: P4/mmm, No. 123

```
InFe2CoC
1.0
3.8397 0.0000 0.0000
0.0000 3.8397 0.0000
0.0000 0.0000 3.8949
In Fe Co C
1 2 1 1
direct
0.0000 0.0000 0.0000
0.0000 0.5000 0.5000
0.5000 0.0000 0.5000
0.5000 0.5000 0.0000
0.5000 0.5000 0.5000
```

---

Record 2
The following is a DFT calculation (PBE) of a relaxed Ta3CoAg crystal.

Calculated values
volume: 19.2 A^3/atom
excess energy over the best structure of this formula in the dataset: 0 meV/atom
symmetry: Pm-3m, No. 221

```
Ta3CoAg
1.0
4.5827 0.0000 0.0000
0.0000 4.5827 0.0000
0.0000 0.0000 4.5827
Ta Co Ag
3 1 1
direct
0.0000 0.0000 0.5000
0.0000 0.5000 0.0000
0.5000 0.0000 0.0000
0.0000 0.0000 0.0000
0.5000 0.5000 0.5000
```

---

Record 3
The following is a DFT calculation (PBE) of a relaxed MnCd2Au9 crystal.

Calculated values
volume: 18.2 A^3/atom
uncorrected energy: -3.469 eV per atom
symmetry: P4/mmm, No. 123

```
MnCd2Au9
1.0
4.1777 0.0000 0.0000
0.0000 4.1777 0.0000
0.0000 0.0000 12.5144
Mn Cd Au
1 2 9
direct
0.0000 0.0000 0.0000
0.0000 0.0000 0.3305
0.0000 0.0000 0.6695
0.0000 0.5000 0.1586
0.0000 0.5000 0.5000
0.0000 0.5000 0.8414
0.5000 0.0000 0.1586
0.5000 0.0000 0.5000
0.5000 0.0000 0.8414
0.5000 0.5000 0.0000
0.5000 0.5000 0.3287
0.5000 0.5000 0.6713
```

---

Record 4
The following is a DFT calculation (PBE) of a relaxed TlCo2Ge2 crystal.

Calculated values
volume: 15.4 A^3/atom
excess energy over the best structure of this formula in the dataset: 76 meV/atom
symmetry: P4/mbm, No. 127

```
TlCo2Ge2
1.0
7.2805 0.0000 0.0000
0.0000 7.2805 0.0000
0.0000 0.0000 2.9086
Tl Co Ge
2 4 4
direct
0.0000 0.0000 0.0000
0.5000 0.5000 0.0000
0.1390 0.3610 0.0000
0.3610 0.8610 0.0000
0.6390 0.1390 0.0000
0.8610 0.6390 0.0000
0.1437 0.6437 0.5000
0.3563 0.1437 0.5000
0.6437 0.8563 0.5000
0.8563 0.3563 0.5000
```